Pr2Mg3Cd5 | PBE | optimized geometry

Summary:
Symmetry = Ibam, No. 72
E = -2.077 eV/atom
Calculated volume = 25.55 Å³/atom
Calculated formation energy = -0.19 eV/atom

Structure (POSCAR):
```
Pr2Mg3Cd5
1.0
-6.267 6.379 3.195
6.267 -6.379 3.195
6.267 6.379 -3.195
Pr Mg Cd
4 6 10
Direct
0.125 0.243 0.368
0.375 0.743 0.118
0.625 0.257 0.882
0.875 0.757 0.632
0.126 0.866 0.992
0.250 0.750 0.500
0.374 0.366 0.740
0.626 0.634 0.260
0.750 0.250 0.500
0.874 0.134 0.008
0.007 0.750 0.257
0.122 0.649 0.771
0.250 0.250 0.000
0.378 0.149 0.528
0.493 0.750 0.743
0.507 0.250 0.257
0.622 0.851 0.472
0.750 0.750 0.000
0.878 0.351 0.229
0.993 0.250 0.743
```

---

Pr2MgCd5 | PBE | optimized geometry

Summary:
Symmetry = I4mm, No. 107
E = -2.199 eV/atom
Calculated volume = 26.19 Å³/atom
Calculated formation energy = -0.23 eV/atom

Structure (POSCAR):
```
Pr2MgCd5
1.0
-3.588 3.588 4.068
3.588 -3.588 4.068
3.588 3.588 -4.068
Pr Mg Cd
2 1 5
Direct
0.000 0.500 0.500
0.500 0.000 0.500
0.055 0.055 0.000
0.446 0.446 0.000
0.538 0.538 0.573
0.538 0.966 0.000
0.966 0.538 0.000
0.966 0.966 0.427
```

---

Pr2MgCd | PBE | optimized geometry

Summary:
Symmetry = Fm-3m, No. 225
E = -3.233 eV/atom
Calculated volume = 29.50 Å³/atom
Calculated formation energy = -0.22 eV/atom

Structure (POSCAR):
```
Pr2MgCd
1.0
0.000 3.893 3.893
3.893 0.000 3.893
3.893 3.893 0.000
Pr Mg Cd
2 1 1
Direct
0.250 0.250 0.250
0.750 0.750 0.750
0.000 0.000 0.000
0.500 0.500 0.500
```

---

Pr2Mg5Cd4 | PBE | optimized geometry

Summary:
Symmetry = Fmmm, No. 69
E = -2.054 eV/atom
Calculated volume = 26.21 Å³/atom
Calculated formation energy = -0.13 eV/atom

Structure (POSCAR):
```
Pr2Mg5Cd4
1.0
0.000 4.898 9.759
3.016 0.000 9.759
3.016 4.898 0.000
Pr Mg Cd
2 5 4
Direct
0.106 0.106 0.894
0.894 0.894 0.106
0.000 0.000 0.500
0.250 0.250 0.250
0.500 0.500 0.000
0.500 0.500 0.500
0.750 0.750 0.750
0.211 0.528 0.472
0.472 0.789 0.211
0.528 0.211 0.789
0.789 0.472 0.528
```

---

Pr6MgCd2 | PBE | optimized geometry

Summary:
Symmetry = Immm, No. 71
E = -3.653 eV/atom
Calculated volume = 32.78 Å³/atom
Calculated formation energy = -0.09 eV/atom

Structure (POSCAR):
```
Pr6MgCd2
1.0
-5.138 5.335 5.381
5.138 -5.335 5.381
5.138 5.335 -5.381
Pr Mg Cd
12 2 4
Direct
0.054 0.232 0.822
0.254 0.300 0.554
0.254 0.700 0.954
0.267 0.585 0.318
0.267 0.949 0.682
0.410 0.232 0.178
0.590 0.768 0.822
0.733 0.051 0.318
0.733 0.415 0.682
0.746 0.300 0.046
0.746 0.700 0.446
0.946 0.768 0.178
0.000 0.500 0.500
0.500 0.500 0.000
0.000 0.141 0.141
0.000 0.859 0.859
0.367 0.000 0.367
0.633 0.000 0.633
```

---

PrMg3Cd | PBE | optimized geometry

Summary:
Symmetry = C2/m, No. 12
E = -2.229 eV/atom
Calculated volume = 25.98 Å³/atom
Calculated formation energy = -0.13 eV/atom

Structure (POSCAR):
```
PrMg3Cd
1.0
7.337 -2.430 0.000
7.337 2.430 0.000
-2.234 0.000 7.286
Pr Mg Cd
2 6 2
Direct
0.137 0.137 0.493
0.863 0.863 0.507
0.070 0.070 0.891
0.268 0.268 0.160
0.369 0.369 0.842
0.631 0.631 0.158
0.732 0.732 0.840
0.930 0.930 0.109
0.472 0.472 0.308
0.528 0.528 0.692
```

---

PrMg4Cd8 | PBE | optimized geometry

Summary:
Symmetry = I4/mmm, No. 139
E = -1.608 eV/atom
Calculated volume = 22.75 Å³/atom
Calculated formation energy = -0.19 eV/atom

Structure (POSCAR):
```
PrMg4Cd8
1.0
-4.943 4.943 3.027
4.943 -4.943 3.027
4.943 4.943 -3.027
Pr Mg Cd
1 4 8
Direct
0.000 0.000 0.000
0.000 0.000 0.500
0.000 0.500 0.000
0.500 0.000 0.000
0.500 0.500 0.500
0.000 0.347 0.347
0.000 0.653 0.653
0.284 0.500 0.784
0.347 0.000 0.347
0.500 0.284 0.784
0.500 0.716 0.216
0.653 0.000 0.653
0.716 0.500 0.216
```

---

Pr3Mg3Cd8 | PBE | optimized geometry

Summary:
Symmetry = Immm, No. 71
E = -2.157 eV/atom
Calculated volume = 25.13 Å³/atom
Calculated formation energy = -0.27 eV/atom

Structure (POSCAR):
```
Pr3Mg3Cd8
1.0
-2.476 4.921 7.218
2.476 -4.921 7.218
2.476 4.921 -7.218
Pr Mg Cd
3 3 8
Direct
0.000 0.000 0.000
0.291 0.291 0.000
0.709 0.709 0.000
0.320 0.500 0.820
0.500 0.000 0.500
0.680 0.500 0.180
0.017 0.658 0.359
0.147 0.862 0.286
0.299 0.658 0.641
0.424 0.138 0.286
0.576 0.862 0.714
0.701 0.342 0.359
0.853 0.138 0.714
0.983 0.342 0.641
```

---

PrMg3Cd9 | PBE | optimized geometry

Summary:
Symmetry = C2/m, No. 12
E = -1.546 eV/atom
Calculated volume = 22.77 Å³/atom
Calculated formation energy = -0.18 eV/atom

Structure (POSCAR):
```
PrMg3Cd9
1.0
3.009 -7.026 0.000
3.009 7.026 0.000
-3.000 0.000 7.001
Pr Mg Cd
1 3 9
Direct
0.000 0.000 0.000
0.000 0.000 0.500
0.000 0.500 0.000
0.500 0.000 0.000
0.005 0.655 0.654
0.279 0.495 0.786
0.345 0.995 0.346
0.495 0.279 0.786
0.500 0.500 0.500
0.505 0.721 0.214
0.655 0.005 0.654
0.721 0.505 0.214
0.995 0.345 0.346
```

---

Pr2Mg3Cd2 | PBE | optimized geometry

Summary:
Symmetry = C2/m, No. 12
E = -2.515 eV/atom
Calculated volume = 26.70 Å³/atom
Calculated formation energy = -0.20 eV/atom

Structure (POSCAR):
```
Pr2Mg3Cd2
1.0
5.402 -2.446 0.000
5.402 2.446 0.000
-2.789 0.000 7.073
Pr Mg Cd
2 3 2
Direct
0.138 0.138 0.270
0.862 0.862 0.730
0.384 0.384 0.070
0.500 0.500 0.500
0.616 0.616 0.930
0.156 0.156 0.713
0.844 0.844 0.287
```

---

Pr2MgCd2 | PBE | optimized geometry

Summary:
Symmetry = C2/m, No. 12
E = -2.801 eV/atom
Calculated volume = 28.55 Å³/atom
Calculated formation energy = -0.20 eV/atom

Structure (POSCAR):
```
Pr2MgCd2
1.0
5.679 -2.498 0.000
5.679 2.498 0.000
-4.923 0.000 10.064
Pr Mg Cd
4 2 4
Direct
0.076 0.076 0.395
0.327 0.327 0.812
0.673 0.673 0.188
0.924 0.924 0.605
0.349 0.349 0.133
0.651 0.651 0.867
0.073 0.073 0.928
0.363 0.363 0.394
0.637 0.637 0.606
0.927 0.927 0.072
```

---

Pr3MgCd8 | PBE | optimized geometry

Summary:
Symmetry = R3m, No. 160
E = -2.186 eV/atom
Calculated volume = 25.31 Å³/atom
Calculated formation energy = -0.25 eV/atom

Structure (POSCAR):
```
Pr3MgCd8
1.0
2.998 1.731 9.754
-2.998 1.731 9.754
0.000 -3.462 9.754
Pr Mg Cd
3 1 8
Direct
0.000 0.000 0.000
0.125 0.125 0.125
0.619 0.619 0.619
0.495 0.495 0.495
0.060 0.561 0.561
0.061 0.061 0.559
0.061 0.559 0.061
0.311 0.311 0.311
0.559 0.061 0.061
0.561 0.060 0.561
0.561 0.561 0.060
0.810 0.810 0.810
```

---

Pr4Mg3Cd2 | PBE | optimized geometry

Summary:
Symmetry = P-3m1, No. 164
E = -3.022 eV/atom
Calculated volume = 29.14 Å³/atom
Calculated formation energy = -0.16 eV/atom

Structure (POSCAR):
```
Pr4Mg3Cd2
1.0
5.433 0.000 0.000
-2.717 4.705 0.000
0.000 0.000 10.255
Pr Mg Cd
4 3 2
Direct
0.000 0.000 0.169
0.000 0.000 0.831
0.333 0.667 0.619
0.667 0.333 0.381
0.000 0.000 0.500
0.333 0.667 0.995
0.667 0.333 0.005
0.333 0.667 0.299
0.667 0.333 0.701
```

---

Pr3Mg4Cd4 | PBE | optimized geometry

Summary:
Symmetry = Immm, No. 71
E = -2.429 eV/atom
Calculated volume = 26.57 Å³/atom
Calculated formation energy = -0.21 eV/atom

Structure (POSCAR):
```
Pr3Mg4Cd4
1.0
-2.372 3.915 7.866
2.372 -3.915 7.866
2.372 3.915 -7.866
Pr Mg Cd
3 4 4
Direct
0.000 0.000 0.000
0.379 0.879 0.500
0.621 0.121 0.500
0.020 0.326 0.694
0.367 0.674 0.694
0.633 0.326 0.306
0.980 0.674 0.306
0.220 0.220 0.000
0.307 0.500 0.807
0.693 0.500 0.193
0.780 0.780 0.000
```

---

PrMg2Cd10 | PBE | optimized geometry

Summary:
Symmetry = Fmmm, No. 69
E = -1.476 eV/atom
Calculated volume = 22.87 Å³/atom
Calculated formation energy = -0.16 eV/atom

Structure (POSCAR):
```
PrMg2Cd10
1.0
0.000 6.991 7.037
3.022 0.000 7.037
3.022 6.991 0.000
Pr Mg Cd
1 2 10
Direct
0.000 0.000 0.000
0.000 0.500 0.000
0.500 0.000 0.500
0.000 0.000 0.500
0.003 0.349 0.651
0.285 0.498 0.502
0.349 0.003 0.997
0.498 0.285 0.715
0.500 0.500 0.000
0.502 0.715 0.285
0.651 0.997 0.003
0.715 0.502 0.498
0.997 0.651 0.349
```

---

PrMg2Cd | PBE | optimized geometry

Summary:
Symmetry = P4/mmm, No. 123
E = -2.337 eV/atom
Calculated volume = 25.71 Å³/atom
Calculated formation energy = -0.12 eV/atom

Structure (POSCAR):
```
PrMg2Cd
1.0
3.466 0.000 0.000
0.000 3.466 0.000
0.000 0.000 8.562
Pr Mg Cd
1 2 1
Direct
0.000 0.000 0.000
0.500 0.500 0.289
0.500 0.500 0.711
0.000 0.000 0.500
```

---

Pr3Mg4Cd2 | PBE | optimized geometry

Summary:
Symmetry = C2/m, No. 12
E = -2.641 eV/atom
Calculated volume = 27.38 Å³/atom
Calculated formation energy = -0.14 eV/atom

Structure (POSCAR):
```
Pr3Mg4Cd2
1.0
4.790 -2.688 0.000
4.790 2.688 0.000
-1.237 0.000 9.570
Pr Mg Cd
3 4 2
Direct
0.000 0.000 0.000
0.369 0.369 0.259
0.631 0.631 0.741
0.053 0.053 0.360
0.321 0.321 0.904
0.679 0.679 0.096
0.947 0.947 0.640
0.284 0.284 0.599
0.716 0.716 0.401
```

---

Pr3Mg2Cd7 | PBE | optimized geometry

Summary:
Symmetry = I4/mmm, No. 139
E = -2.143 eV/atom
Calculated volume = 26.73 Å³/atom
Calculated formation energy = -0.15 eV/atom

Structure (POSCAR):
```
Pr3Mg2Cd7
1.0
-2.264 2.264 15.642
2.264 -2.264 15.642
2.264 2.264 -15.642
Pr Mg Cd
3 2 7
Direct
0.000 0.000 0.000
0.169 0.169 0.000
0.831 0.831 0.000
0.364 0.364 0.000
0.636 0.636 0.000
0.078 0.578 0.500
0.274 0.274 0.000
0.422 0.922 0.500
0.500 0.500 0.000
0.578 0.078 0.500
0.726 0.726 0.000
0.922 0.422 0.500
```

---

PrMg5Cd2 | PBE | optimized geometry

Summary:
Symmetry = Immm, No. 71
E = -1.965 eV/atom
Calculated volume = 24.50 Å³/atom
Calculated formation energy = -0.14 eV/atom

Structure (POSCAR):
```
PrMg5Cd2
1.0
-1.887 4.472 5.809
1.887 -4.472 5.809
1.887 4.472 -5.809
Pr Mg Cd
1 5 2
Direct
0.000 0.000 0.000
0.155 0.362 0.793
0.431 0.638 0.793
0.500 0.000 0.500
0.569 0.362 0.207
0.845 0.638 0.207
0.240 0.740 0.500
0.760 0.260 0.500
```

---

PrMg2Cd9 | PBE | optimized geometry

Summary:
Symmetry = I4_1/amd, No. 141
E = -1.498 eV/atom
Calculated volume = 22.94 Å³/atom
Calculated formation energy = -0.15 eV/atom

Structure (POSCAR):
```
PrMg2Cd9
1.0
-5.952 5.952 3.886
5.952 -5.952 3.886
5.952 5.952 -3.886
Pr Mg Cd
2 4 18
Direct
0.375 0.625 0.750
0.625 0.375 0.250
0.000 0.000 0.000
0.000 0.000 0.500
0.000 0.500 0.000
0.500 0.000 0.500
0.125 0.875 0.250
0.126 0.552 0.332
0.126 0.794 0.574
0.206 0.280 0.332
0.206 0.874 0.926
0.280 0.206 0.832
0.280 0.448 0.074
0.448 0.280 0.574
0.448 0.874 0.168
0.552 0.126 0.832
0.552 0.720 0.426
0.720 0.552 0.926
0.720 0.794 0.168
0.794 0.126 0.074
0.794 0.720 0.668
0.874 0.206 0.426
0.874 0.448 0.668
0.875 0.125 0.750
```